No. 1
16
Lattice="7.372 -4.402 0.000 7.372 4.402 0.000 -0.172 0.000 8.162" Properties=species:S:1:pos:R:3 comment="Rb4Np3TeSe8 | Alexandria via LeMat-Bulk | PBE | optimized geometry" magnetic_moment_mub_per_cell=11.18 dos_at_fermi_per_ev_fu=31.0 e_form_raw_ev_per_atom=-0.972 volume_a3_per_atom=33.11 pbc="T T T"
Rb 0.000 0.000 0.000
Rb 3.686 2.201 0.000
Rb 3.686 -2.201 0.000
Rb 7.372 0.000 0.000
Np -0.086 0.000 4.081
Np 3.600 2.201 4.081
Np 3.600 -2.201 4.081
Te 7.286 0.000 4.081
Se 5.950 2.433 5.719
Se 2.400 0.000 5.654
Se 8.622 2.433 2.443
Se 4.848 0.000 2.550
Se 9.724 0.000 5.612
Se 5.950 -2.433 5.719
Se 12.172 0.000 2.508
Se 8.622 -2.433 2.443

No. 2
4
Lattice="0.000 3.812 3.812 3.812 0.000 3.812 3.812 3.812 0.000" Properties=species:S:1:pos:R:3 comment="Ce2HoHf | Alexandria via LeMat-Bulk | PBE | optimized geometry" magnetic_moment_mub_per_cell=1.35 dos_at_fermi_per_ev_fu=12.4 delta_e_f_mev_per_atom=281.6 volume_a3_per_atom=27.70 pbc="T T T"
Ce 1.906 1.906 1.906
Ce 5.718 5.718 5.718
Ho 0.000 0.000 0.000
Hf 3.812 3.812 3.812

No. 3
6
Lattice="4.723 -2.161 0.000 4.723 2.161 0.000 0.000 0.000 3.843" Properties=species:S:1:pos:R:3 comment="ScBe2 | Alexandria via LeMat-Bulk | PBE | optimized geometry" magnetic_moment_mub_per_cell=0.00 dos_at_fermi_per_ev_fu=1.5 delta_e_f_mev_per_atom=-2.8 volume_a3_per_atom=13.07 pbc="T T T"
Sc 4.723 1.142 2.882
Sc 4.723 -1.142 0.961
Be 2.726 0.608 0.961
Be 2.726 -0.608 2.882
Be 6.719 0.608 0.961
Be 6.719 -0.608 2.882

No. 4
15
Lattice="5.784 0.000 0.000 -2.892 5.009 0.000 0.000 0.000 11.229" Properties=species:S:1:pos:R:3 comment="Sm3InSi2Pd9 | Alexandria via LeMat-Bulk | PBE | optimized geometry" magnetic_moment_mub_per_cell=0.00 dos_at_fermi_per_ev_fu=8.7 e_form_raw_ev_per_atom=-0.632 volume_a3_per_atom=21.69 pbc="T T T"
Sm 0.000 0.000 0.000
Sm 0.000 3.339 8.472
Sm 2.892 1.670 2.757
In 0.000 0.000 5.614
Si 0.000 3.339 1.781
Si 2.892 1.670 9.448
Pd -1.446 2.505 0.000
Pd 0.000 1.602 3.377
Pd -1.505 4.208 3.377
Pd 1.387 0.801 7.852
Pd 2.892 0.000 0.000
Pd 1.446 2.505 0.000
Pd 1.505 4.208 3.377
Pd 4.397 0.801 7.852
Pd 2.892 3.407 7.852

No. 5
12
Lattice="-3.188 3.188 4.317 3.188 -3.188 4.317 3.188 3.188 -4.317" Properties=species:S:1:pos:R:3 comment="MnNi4Sn | Alexandria via LeMat-Bulk | PBE | optimized geometry" magnetic_moment_mub_per_cell=7.86 dos_at_fermi_per_ev_fu=4.7 delta_e_f_mev_per_atom=291.9 volume_a3_per_atom=14.63 pbc="T T T"
Mn 0.000 1.594 1.079
Mn 3.188 1.594 3.238
Ni 0.801 -0.621 0.951
Ni 4.161 0.793 1.208
Ni 0.801 2.567 -0.951
Ni 0.973 0.793 3.109
Ni 2.215 2.395 1.208
Ni 2.387 0.621 5.268
Ni -0.973 2.395 3.109
Ni 2.387 3.809 3.367
Sn 3.188 1.594 -1.079
Sn 0.000 1.594 5.397

No. 6
6
Lattice="4.633 -1.758 0.000 4.633 1.758 0.000 -2.613 0.000 4.741" Properties=species:S:1:pos:R:3 comment="NiP | Alexandria via LeMat-Bulk | PBE | optimized geometry" magnetic_moment_mub_per_cell=0.00 dos_at_fermi_per_ev_fu=1.0 delta_e_f_mev_per_atom=-231.8 volume_a3_per_atom=12.87 pbc="T T T"
Ni 0.000 0.000 0.000
Ni 0.317 0.000 3.611
Ni 2.963 0.000 3.084
P 4.475 0.000 1.469
P 7.034 0.000 0.067
P 6.501 0.000 2.306